1.
This record from Alexandria describes a geometry-optimized Ce2DyAu6 structure. The functional is PBE.

Cell: 5.3513 5.3495 8.6833 Å, 72.06 81.02 59.54°
Each line ends with the local moment (μB).
Element x y z (fractional)
Ce (0.5000, 0.8347, 0.8307)  0.69
Ce (0.5000, 0.1653, 0.1693)  0.69
Dy (0.0000, 0.0000, 0.5000)  0.02
Au (0.1660, 0.8323, 0.1746)  0.00
Au (0.8340, 0.4932, 0.1746)  0.00
Au (0.8340, 0.1677, 0.8254)  0.00
Au (0.1660, 0.5068, 0.8254)  0.00
Au (0.3271, 0.3323, 0.5000)  0.00
Au (0.6729, 0.6677, 0.5000)  0.00

## Properties
DOS at the Fermi energy = 14.7 states/eV per cell
Formation enthalpy at 0 K = -0.67 eV/atom
ρ = 13.23 g/cm3
Total moment = 1.6 μB per cell

=====

2.
This record from Alexandria describes a geometry-optimized Ce2DyAu structure. The functional is PBE.

Cell: 5.3145 5.3145 5.3153 Å, 60.01 60.01 60.00°
Each line ends with the local moment (μB).
Element x y z (fractional)
Au (0.5000, 0.5000, 0.5000)  -0.01
Ce (0.7500, 0.7500, 0.7500)  0.69
Ce (0.2500, 0.2500, 0.2500)  0.69
Dy (0.0000, 0.0000, 0.0000)  0.32

## Properties
DOS at the Fermi energy = 12.0 states/eV per cell
Formation enthalpy at 0 K = -0.06 eV/atom
ρ = 10.01 g/cm3
Energy above the most stable polymorph in this dataset = 76 kJ/mol of formula units
Total moment = 2.1 μB per cell

=====

3.
This record from Alexandria describes a geometry-optimized CeDyGa2Au5 structure. The functional is PBE.

Cell: 4.4969 4.4969 9.3349 Å, 90.00 90.00 90.00°
Each line ends with the local moment (μB).
Element x y z (fractional)
Ce (0.0000, 0.0000, 0.5000)  0.81
Dy (0.0000, 0.0000, 0.0000)  0.03
Ga (0.5000, 0.5000, 0.1304)  0.00
Ga (0.5000, 0.5000, 0.8696)  0.00
Au (0.0000, 0.5000, 0.2665)  0.01
Au (0.5000, 0.0000, 0.2665)  0.01
Au (0.0000, 0.5000, 0.7335)  0.01
Au (0.5000, 0.0000, 0.7335)  0.01
Au (0.5000, 0.5000, 0.5000)  0.01

## Properties
DOS at the Fermi energy = 11.2 states/eV per cell
Formation enthalpy at 0 K = -0.47 eV/atom
ρ = 12.55 g/cm3
Total moment = 1.0 μB per cell

=====

4.
This record from Alexandria describes a geometry-optimized Ce2Dy2Ga4Au structure. The functional is PBE.

Cell: 6.6609 6.6609 6.6609 Å, 101.78 113.45 113.45°
Each line ends with the local moment (μB).
Element x y z (fractional)
Ce (0.0000, 0.6602, 0.6602)  0.64
Ce (0.0000, 0.3398, 0.3398)  0.64
Dy (0.5000, 0.7500, 0.2500)  0.07
Dy (0.5000, 0.2500, 0.7500)  0.07
Ga (0.0000, 0.7573, 0.2427)  0.00
Ga (0.5145, 0.7573, 0.7573)  0.00
Ga (0.0000, 0.2427, 0.7573)  0.00
Ga (0.4855, 0.2427, 0.2427)  0.00
Au (0.0000, 0.0000, 0.0000)  -0.01

## Properties
DOS at the Fermi energy = 10.3 states/eV per cell
Formation enthalpy at 0 K = -0.29 eV/atom
ρ = 8.00 g/cm3
Total moment = 1.7 μB per cell

=====

5.
This record from Alexandria describes a geometry-optimized Ce2DyGa2Au2 structure. The functional is PBE.

Cell: 4.4699 4.4699 9.2909 Å, 76.08 76.08 60.00°
Each line ends with the local moment (μB).
Element x y z (fractional)
Ce (0.1392, 0.1392, 0.5823)  0.50
Ce (0.8608, 0.8608, 0.4177)  0.50
Dy (0.0000, 0.0000, 0.0000)  -0.01
Ga (0.7390, 0.7390, 0.7829)  -0.01
Ga (0.2610, 0.2610, 0.2171)  -0.01
Au (0.6001, 0.6001, 0.1998)  -0.01
Au (0.3999, 0.3999, 0.8002)  -0.01

## Properties
DOS at the Fermi energy = 9.2 states/eV per cell
Formation enthalpy at 0 K = -0.62 eV/atom
ρ = 10.50 g/cm3
Total moment = 1.1 μB per cell

=====

6.
This record from Alexandria describes a geometry-optimized CeDyGaAu structure. The functional is PBE.

Cell: 5.1655 5.1655 5.1655 Å, 60.00 60.00 60.00°
Each line ends with the local moment (μB).
Element x y z (fractional)
Au (0.7500, 0.7500, 0.7500)  0.02
Ga (0.2500, 0.2500, 0.2500)  -0.01
Ce (0.0000, 0.0000, 0.0000)  0.75
Dy (0.5000, 0.5000, 0.5000)  0.12

## Properties
DOS at the Fermi energy = 9.7 states/eV per cell
Formation enthalpy at 0 K = -0.57 eV/atom
ρ = 9.70 g/cm3
Total moment = 1.1 μB per cell

=====

7.
This record from Alexandria describes a geometry-optimized CeDyGa2Au4 structure. The functional is PBE.

Cell: 4.7249 4.7249 9.0894 Å, 74.94 74.94 60.00°
Each line ends with the local moment (μB).
Element x y z (fractional)
Ce (0.0000, 0.0000, 0.0000)  0.47
Dy (0.5000, 0.5000, 0.5000)  0.00
Ga (0.7507, 0.7507, 0.7479)  0.00
Ga (0.2493, 0.2493, 0.2521)  0.00
Au (0.3858, 0.3858, 0.8426)  0.00
Au (0.8793, 0.8793, 0.3621)  0.00
Au (0.1207, 0.1207, 0.6379)  0.00
Au (0.6142, 0.6142, 0.1574)  0.00

## Properties
DOS at the Fermi energy = 7.7 states/eV per cell
Formation enthalpy at 0 K = -0.62 eV/atom
ρ = 12.18 g/cm3
Total moment = 0.5 μB per cell

=====

8.
This record from Alexandria describes a geometry-optimized CeDyHgAu structure. The functional is PBE.

Cell: 5.2528 5.2528 5.2528 Å, 60.00 60.00 60.00°
Each line ends with the local moment (μB).
Element x y z (fractional)
Au (0.0000, 0.0000, 0.0000)  -0.01
Hg (0.5000, 0.5000, 0.5000)  0.00
Ce (0.2500, 0.2500, 0.2500)  0.74
Dy (0.7500, 0.7500, 0.7500)  0.04

## Properties
DOS at the Fermi energy = 8.9 states/eV per cell
Formation enthalpy at 0 K = -0.53 eV/atom
ρ = 11.34 g/cm3
Total moment = 0.9 μB per cell

=====

9.
This record from Alexandria describes a geometry-optimized LiCeDy2Au4 structure. The functional is PBE.

Cell: 5.0062 5.0062 8.8392 Å, 73.55 73.55 60.00°
Each line ends with the local moment (μB).
Element x y z (fractional)
Li (0.5000, 0.5000, 0.5000)  0.00
Ce (0.0000, 0.0000, 0.0000)  0.76
Dy (0.7603, 0.7603, 0.7191)  0.01
Dy (0.2397, 0.2397, 0.2809)  0.01
Au (0.3869, 0.3869, 0.8393)  0.00
Au (0.8788, 0.8788, 0.3636)  0.00
Au (0.1212, 0.1212, 0.6364)  0.00
Au (0.6131, 0.6131, 0.1607)  0.00

## Properties
DOS at the Fermi energy = 9.9 states/eV per cell
Formation enthalpy at 0 K = -0.70 eV/atom
ρ = 11.54 g/cm3
Total moment = 0.9 μB per cell

=====

10.
This record from Alexandria describes a geometry-optimized LiCeDyAu structure. The functional is PBE.

Cell: 5.1661 5.1661 5.1661 Å, 60.00 60.00 60.00°
Each line ends with the local moment (μB).
Element x y z (fractional)
Li (0.5000, 0.5000, 0.5000)  0.00
Au (0.0000, 0.0000, 0.0000)  0.00
Ce (0.2500, 0.2500, 0.2500)  0.74
Dy (0.7500, 0.7500, 0.7500)  0.05

## Properties
DOS at the Fermi energy = 8.8 states/eV per cell
Formation enthalpy at 0 K = -0.26 eV/atom
ρ = 8.63 g/cm3
Total moment = 0.9 μB per cell

=====

11.
This record from Alexandria describes a geometry-optimized CeDyMg2Au4 structure. The functional is PBE.

Cell: 4.9659 4.9659 8.5736 Å, 73.17 73.17 60.00°
Each line ends with the local moment (μB).
Element x y z (fractional)
Ce (0.0000, 0.0000, 0.0000)  0.61
Dy (0.5000, 0.5000, 0.5000)  -0.01
Mg (0.7510, 0.7510, 0.7471)  0.00
Mg (0.2490, 0.2490, 0.2529)  0.00
Au (0.3773, 0.3773, 0.8680)  0.00
Au (0.8724, 0.8724, 0.3828)  0.00
Au (0.1276, 0.1276, 0.6172)  0.00
Au (0.6227, 0.6227, 0.1320)  0.00

## Properties
DOS at the Fermi energy = 9.0 states/eV per cell
Formation enthalpy at 0 K = -0.72 eV/atom
ρ = 10.96 g/cm3
Total moment = 0.7 μB per cell

=====

12.
This record from Alexandria describes a geometry-optimized CeDy2MgAu4 structure. The functional is PBE.

Cell: 5.0208 5.0208 8.8731 Å, 73.57 73.57 60.00°
Each line ends with the local moment (μB).
Element x y z (fractional)
Ce (0.0000, 0.0000, 0.0000)  0.79
Dy (0.7577, 0.7577, 0.7270)  0.01
Dy (0.2423, 0.2423, 0.2730)  0.01
Mg (0.5000, 0.5000, 0.5000)  0.00
Au (0.3854, 0.3854, 0.8437)  0.00
Au (0.8772, 0.8772, 0.3683)  0.00
Au (0.1228, 0.1228, 0.6317)  0.00
Au (0.6146, 0.6146, 0.1563)  0.00

## Properties
DOS at the Fermi energy = 10.5 states/eV per cell
Formation enthalpy at 0 K = -0.73 eV/atom
ρ = 11.58 g/cm3
Total moment = 0.9 μB per cell